# BaTa2NO GGA-PBEsol optimized geometry
data_BaTa2NO
_cell_length_a 3.994
_cell_length_b 3.994
_cell_length_c 6.950
_cell_angle_alpha 90.00
_cell_angle_beta 90.00
_cell_angle_gamma 90.00
_symmetry_space_group_name_H-M 'P 4/m m m'
_symmetry_Int_Tables_number 123
_symmetry_space_group_name_Hall '-P 4 2'
loop_
_atom_site_label
_atom_site_type_symbol
_atom_site_fract_x
_atom_site_fract_y
_atom_site_fract_z
Ba1 Ba 0.000 0.000 0.000
Ta1 Ta 0.000 0.500 0.500
N1 N 0.500 0.500 0.500
O1 O 0.500 0.500 0.000
# **Formation energy from raw total energies**: -0.23 eV/atom
# **M_tot**: 0.01 μB per cell